DFT (GGA-PBE) results for crystalline KLiPu2F8 at its relaxed geometry.

Computed properties:
The formation energy without anion corrections is -3354 meV/atom. The space-group type is P-1 (2). Its crystal system is triclinic. The calculated volume is 187.4 Å³ per cell. The calculation puts the total energy at -86.89 eV/f.u.

a = 4.0472 Å, b = 5.9318 Å, c = 7.8640 Å
α = 96.96°, β = 89.96°, γ = 90.18°
Closest atoms and distances in Å follow each position.
Positions (direct):
K: 0.0000 0.0000 0.5000  8 F 2.60-2.76
Li: 0.0000 0.0000 0.0000  2 F 1.93
Pu: 0.4999 0.5358 0.7597  8 F 2.34-2.51
Pu: 0.5001 0.4642 0.2403  8 F 2.34-2.51
F: 0.0010 0.6631 0.2557  2 Pu 2.34, 1 K 2.60
F: 0.5023 0.7397 0.0342  2 Pu 2.34-2.44, 2 Li 2.57-2.59
F: 0.9988 0.2126 0.2069  1 Li 1.93
F: 0.9990 0.3369 0.7443  2 Pu 2.34, 1 K 2.60
F: 0.4977 0.2603 0.9658  2 Pu 2.34-2.44, 2 Li 2.57-2.59
F: 0.0012 0.7874 0.7931  1 Li 1.93
F: 0.4999 0.7200 0.5092  2 Pu 2.36-2.45, 1 F 2.60, 2 K 2.62-2.63
F: 0.5001 0.2800 0.4908  2 Pu 2.36-2.45, 1 F 2.60, 2 K 2.62-2.63

DFT (GGA-PBE) results for crystalline Tl6Cd5Pb at its relaxed geometry.

Computed properties:
The space-group type is C2/m (12). Its crystal system is monoclinic. The calculated volume is 337.0 Å³ per cell. As for the formation energy: 59 meV per atom. The calculation puts the total energy at -21.78 eV/f.u.

a = 4.8192 Å, b = 9.3467 Å, c = 9.3467 Å
α = 114.95°, β = 104.62°, γ = 104.62°
Closest atoms and distances in Å follow each position.
Positions (direct):
Pb: 0.0000 0.0000 0.0000  8 Tl 3.37-3.51, 4 Cd 3.49
Tl: 0.2624 0.0926 0.4274  7 Cd 3.21-3.46, 1 Pb 3.51, 4 Tl 3.53-3.58
Tl: 0.7376 0.5726 0.9074  7 Cd 3.21-3.46, 1 Pb 3.51, 4 Tl 3.53-3.58
Tl: 0.7710 0.2690 0.2690  6 Cd 3.15-3.48, 2 Pb 3.37-3.42
Tl: 0.2290 0.7310 0.7310  6 Cd 3.15-3.48, 2 Pb 3.37-3.42
Tl: 0.2624 0.4274 0.0926  7 Cd 3.21-3.46, 1 Pb 3.51, 4 Tl 3.53-3.58
Tl: 0.7376 0.9074 0.5726  7 Cd 3.21-3.46, 1 Pb 3.51, 4 Tl 3.53-3.58
Cd: 0.5000 0.1598 0.8402  8 Tl 3.31-3.47, 2 Pb 3.49, 2 Cd 3.51
Cd: 0.0000 0.3216 0.6784  8 Tl 3.21-3.48, 2 Cd 3.51
Cd: 0.5000 0.5000 0.5000  8 Tl 3.15-3.39
Cd: 0.0000 0.6784 0.3216  8 Tl 3.21-3.48, 2 Cd 3.51
Cd: 0.5000 0.8402 0.1598  8 Tl 3.31-3.47, 2 Pb 3.49, 2 Cd 3.51

DFT (GGA-PBE) results for crystalline Y2AsSe at its relaxed geometry.

Computed properties:
The formation energy without anion corrections is -1720 meV/atom. The space-group type is P4/mmm (123). Its crystal system is tetragonal. The energy relative to the lowest polymorph listed for this composition comes out at 5 meV per atom. The calculated volume is 97.6 Å³ per cell. The calculation puts the total energy at -27.94 eV/f.u.

a = 5.7998 Å, b = 4.1029 Å, c = 4.1029 Å
α = 90.00°, β = 90.00°, γ = 90.00°
Closest atoms and distances in Å follow each position.
Positions (direct):
Y: 0.0000 0.8750 0.8750  2 Se 2.90, 4 As 2.90
Y: 0.5000 0.3750 0.3750  2 As 2.90, 4 Se 2.90
As: 0.0000 0.3750 0.3750  6 Y 2.90
Se: 0.5000 0.8750 0.8750  6 Y 2.90

Look up the calculated volume of the third one.
97.6 Å³ per cell

The highest calculated volume belongs to which entry?
Tl6Cd5Pb